# HoErTh

A relaxed structure of HoErTh (PBE-GGA, Alexandria).

abc: 3.464 3.464 18.378
angles: 90.00 90.00 120.00
Positions (direct):
Ho1 0.333 0.667 0.000
Ho2 0.667 0.333 0.500
Er1 0.000 0.000 0.154
Er2 0.000 0.000 0.654
Th1 0.333 0.667 0.817
Th2 0.667 0.333 0.317

The formation energy from the elements comes out at 0.4 eV/f.u. The value obtained for the size of the total moment is 0.00 μB/atom. The polymorph energy (0 for the lowest one) is 124 meV per atom. As for the density of states at the Fermi level: 8.53 states/eV/cell.